The following is a PBE-GGA calculation of Nd6InTe3Se2 after structural relaxation, from Alexandria via LeMat-Bulk.

a b c (Å): 4.330 9.014 9.949
angles (deg): 104.38 102.57 90.00
Fractional positions:
Se (0.832, 0.666, 0.664)
Nd (0.665, 0.099, 0.331)
Nd (0.335, 0.901, 0.669)
Nd (0.327, 0.432, 0.654)
Nd (0.994, 0.749, 0.987)
Te (0.500, 0.500, 0.000)
Te (0.834, 0.170, 0.669)
Nd (0.006, 0.251, 0.013)
Nd (0.673, 0.568, 0.346)
Se (0.168, 0.334, 0.336)
Te (0.166, 0.830, 0.331)
In (0.500, 0.000, 0.000)

Summary:
raw total energy: -5.376 eV/atom
magnetic moment: 0.00 μB per formula unit
uncorrected formation energy: -1618 kJ/mol of formula units

=====

The following is a PBE-GGA calculation of Nd4InTeSe2 after structural relaxation, from Alexandria via LeMat-Bulk.

a b c (Å): 4.273 7.655 7.632
angles (deg): 71.67 90.00 90.00
Fractional positions:
Te (0.000, 0.500, 0.500)
In (0.500, 0.500, 0.000)
Nd (0.500, 0.768, 0.238)
Nd (0.000, 0.766, 0.744)
Se (0.000, 0.000, 0.000)
Nd (0.000, 0.234, 0.256)
Se (0.500, 0.000, 0.500)
Nd (0.500, 0.232, 0.762)

Summary:
raw total energy: -5.363 eV/atom
magnetic moment: 0.00 μB per formula unit
uncorrected formation energy: -1060 kJ/mol of formula units

=====

The following is a PBE-GGA calculation of NdTl2InSe4 after structural relaxation, from Alexandria via LeMat-Bulk.

a b c (Å): 8.771 8.771 8.791
angles (deg): 120.08 120.08 90.70
Fractional positions:
In (0.000, 0.000, 0.000)
Nd (0.000, 0.500, 0.000)
Se (0.245, 0.714, 0.480)
Tl (0.000, 0.000, 0.500)
Se (0.214, 0.745, 0.980)
In (0.500, 0.500, 0.500)
Se (0.786, 0.255, 0.020)
Se (0.241, 0.259, 0.034)
Tl (0.500, 0.000, 0.500)
Se (0.755, 0.286, 0.520)
Se (0.759, 0.741, 0.534)
Nd (0.000, 0.500, 0.500)
Se (0.759, 0.741, 0.966)
Tl (0.500, 0.000, 0.000)
Tl (0.500, 0.500, 0.000)
Se (0.241, 0.259, 0.466)

Summary:
raw total energy: -4.145 eV/atom
magnetic moment: 0.00 μB per formula unit
uncorrected formation energy: -674 kJ/mol of formula units

=====

The following is a PBE-GGA calculation of Nd2Tl3InSe6 after structural relaxation, from Alexandria via LeMat-Bulk.

a b c (Å): 7.367 7.367 8.153
angles (deg): 98.75 98.75 119.92
Fractional positions:
Se (0.932, 0.614, 0.795)
Se (0.386, 0.068, 0.205)
Tl (0.172, 0.828, 0.500)
In (0.000, 0.000, 0.000)
Tl (0.500, 0.500, 0.500)
Se (0.614, 0.932, 0.795)
Se (0.249, 0.249, 0.787)
Se (0.068, 0.386, 0.205)
Nd (0.334, 0.666, 0.000)
Tl (0.828, 0.172, 0.500)
Se (0.751, 0.751, 0.213)
Nd (0.666, 0.334, 0.000)

Summary:
raw total energy: -4.409 eV/atom
magnetic moment: 0.00 μB per formula unit
uncorrected formation energy: -1219 kJ/mol of formula units

=====

The following is a PBE-GGA calculation of NdTm2In3Se6 after structural relaxation, from Alexandria via LeMat-Bulk.

a b c (Å): 7.211 7.211 8.105
angles (deg): 98.53 98.53 119.96
Fractional positions:
Se (0.415, 0.070, 0.210)
Nd (0.000, 0.000, 0.000)
Se (0.585, 0.930, 0.790)
In (0.164, 0.836, 0.500)
Se (0.724, 0.724, 0.206)
In (0.836, 0.164, 0.500)
Tm (0.667, 0.333, 0.000)
Se (0.276, 0.276, 0.794)
Se (0.070, 0.415, 0.210)
Tm (0.333, 0.667, 0.000)
In (0.500, 0.500, 0.500)
Se (0.930, 0.585, 0.790)

Summary:
raw total energy: -4.855 eV/atom
magnetic moment: 0.00 μB per formula unit
uncorrected formation energy: -1488 kJ/mol of formula units

=====

The following is a PBE-GGA calculation of NdTmIn2Se4 after structural relaxation, from Alexandria via LeMat-Bulk.

a b c (Å): 4.194 7.273 8.102
angles (deg): 107.34 90.00 90.00
Fractional positions:
Se (0.500, 0.225, 0.208)
In (0.500, 0.000, 0.500)
Nd (0.500, 0.500, 0.000)
Se (0.500, 0.775, 0.792)
Se (0.000, 0.748, 0.213)
Se (0.000, 0.252, 0.787)
Tm (0.000, 0.000, 0.000)
In (0.000, 0.500, 0.500)

Summary:
raw total energy: -4.865 eV/atom
magnetic moment: 0.00 μB per formula unit
uncorrected formation energy: -990 kJ/mol of formula units

=====

The following is a PBE-GGA calculation of Nd2UIn3Se6 after structural relaxation, from Alexandria via LeMat-Bulk.

a b c (Å): 7.351 7.351 8.128
angles (deg): 98.67 98.67 119.95
Site moments in Bohr magnetons follow the coordinates.
Fractional positions:
Se (0.071, 0.396, 0.213)  -0.02
Se (0.396, 0.071, 0.213)  -0.02
In (0.168, 0.832, 0.500)  0.00
Se (0.253, 0.253, 0.785)  -0.02
Se (0.747, 0.747, 0.215)  -0.02
In (0.832, 0.168, 0.500)  0.00
Se (0.929, 0.604, 0.787)  -0.02
Nd (0.333, 0.667, 0.000)  0.07
Se (0.604, 0.929, 0.787)  -0.02
Nd (0.667, 0.333, 0.000)  0.07
In (0.500, 0.500, 0.500)  0.00
U (0.000, 0.000, 0.000)  2.55

Summary:
raw total energy: -5.271 eV/atom
magnetic moment: 3.01 μB per formula unit
uncorrected formation energy: -1284 kJ/mol of formula units

=====

The following is a PBE-GGA calculation of Nd2YIn3Se6 after structural relaxation, from Alexandria via LeMat-Bulk.

a b c (Å): 7.353 7.353 8.103
angles (deg): 98.70 98.70 119.98
Fractional positions:
Se (0.746, 0.746, 0.215)
Se (0.604, 0.929, 0.787)
In (0.500, 0.500, 0.500)
Se (0.929, 0.604, 0.787)
Se (0.254, 0.254, 0.785)
In (0.832, 0.168, 0.500)
Se (0.071, 0.396, 0.213)
In (0.168, 0.832, 0.500)
Se (0.396, 0.071, 0.213)
Nd (0.667, 0.333, 0.000)
Y (0.000, 0.000, 0.000)
Nd (0.333, 0.667, 0.000)

Summary:
raw total energy: -5.055 eV/atom
magnetic moment: 0.00 μB per formula unit
uncorrected formation energy: -1499 kJ/mol of formula units

=====

The following is a PBE-GGA calculation of Nd6In2Si after structural relaxation, from Alexandria via LeMat-Bulk.

a b c (Å): 4.047 8.836 8.841
angles (deg): 119.98 90.00 90.00
Site moments in Bohr magnetons follow the coordinates.
Fractional positions:
Si (0.500, 0.000, 0.000)  0.00
In (0.000, 0.333, 0.667)  0.00
Nd (0.500, 0.000, 0.610)  0.06
Nd (0.500, 0.610, 0.000)  -0.07
Nd (0.000, 0.256, 0.000)  0.07
Nd (0.500, 0.390, 0.390)  0.06
In (0.000, 0.667, 0.333)  0.00
Nd (0.000, 0.744, 0.744)  -0.01
Nd (0.000, 0.000, 0.256)  -0.01

Summary:
raw total energy: -4.770 eV/atom
magnetic moment: 0.24 μB per formula unit
uncorrected formation energy: -331 kJ/mol of formula units

=====

The following is a PBE-GGA calculation of NdIn2Si after structural relaxation, from Alexandria via LeMat-Bulk.

a b c (Å): 4.926 4.404 4.404
angles (deg): 90.00 90.00 90.00
Fractional positions:
In (0.000, 0.500, 0.000)
Si (0.500, 0.000, 0.000)
Nd (0.500, 0.500, 0.500)
In (0.000, 0.000, 0.500)

Summary:
raw total energy: -4.248 eV/atom
magnetic moment: 0.00 μB per formula unit
uncorrected formation energy: -128 kJ/mol of formula units

=====

The following is a PBE-GGA calculation of Nd5In2Si2 after structural relaxation, from Alexandria via LeMat-Bulk.

a b c (Å): 7.876 7.946 9.063
angles (deg): 90.00 64.25 90.00
Fractional positions:
Nd (0.935, 0.316, 0.749)
Nd (0.435, 0.184, 0.749)
Nd (0.316, 0.684, 0.749)
Nd (0.000, 0.000, 0.000)
Nd (0.500, 0.500, 0.000)
Nd (0.816, 0.816, 0.749)
Si (0.891, 0.613, 0.000)
Nd (0.684, 0.316, 0.251)
Si (0.609, 0.113, 0.000)
In (0.277, 0.500, 0.446)
Nd (0.065, 0.684, 0.251)
Nd (0.565, 0.816, 0.251)
Si (0.109, 0.387, 0.000)
In (0.777, 0.000, 0.446)
In (0.223, 0.000, 0.554)
In (0.723, 0.500, 0.554)
Nd (0.184, 0.184, 0.251)
Si (0.391, 0.887, 0.000)

Summary:
raw total energy: -5.000 eV/atom
magnetic moment: 0.00 μB per formula unit
uncorrected formation energy: -466 kJ/mol of formula units

=====

The following is a PBE-GGA calculation of Nd5In2Si after structural relaxation, from Alexandria via LeMat-Bulk.

a b c (Å): 5.201 6.942 13.191
angles (deg): 90.00 90.00 90.00
Fractional positions:
Nd (0.500, 0.670, 0.414)
Si (0.000, 0.500, 0.500)
In (0.500, 0.115, 0.343)
Nd (0.000, 0.372, 0.284)
Nd (0.000, 0.872, 0.216)
In (0.500, 0.385, 0.843)
Nd (0.000, 0.000, 0.500)
Nd (0.000, 0.628, 0.716)
Nd (0.000, 0.128, 0.784)
Si (0.000, 0.000, 0.000)
In (0.500, 0.885, 0.657)
Nd (0.000, 0.500, 0.000)
Nd (0.500, 0.830, 0.914)
In (0.500, 0.615, 0.157)
Nd (0.500, 0.330, 0.586)
Nd (0.500, 0.170, 0.086)

Summary:
raw total energy: -4.772 eV/atom
magnetic moment: 0.00 μB per formula unit
uncorrected formation energy: -332 kJ/mol of formula units

=====

The following is a PBE-GGA calculation of Nd12InSi5 after structural relaxation, from Alexandria via LeMat-Bulk.

a b c (Å): 8.781 8.781 8.781
angles (deg): 105.62 112.18 110.68
Fractional positions:
Si (0.500, 0.888, 0.388)
Nd (0.705, 0.680, 0.385)
Si (0.377, 0.377, 0.000)
Nd (0.295, 0.680, 0.976)
Nd (0.802, 0.033, 0.231)
In (0.000, 0.500, 0.500)
Si (0.500, 0.112, 0.612)
Nd (0.198, 0.429, 0.231)
Nd (0.090, 0.818, 0.271)
Nd (0.910, 0.182, 0.729)
Nd (0.453, 0.182, 0.271)
Nd (0.198, 0.967, 0.769)
Nd (0.705, 0.320, 0.024)
Nd (0.802, 0.571, 0.769)
Nd (0.295, 0.320, 0.615)
Nd (0.547, 0.818, 0.729)
Si (0.623, 0.623, 0.000)
Si (0.000, 0.000, 0.000)

Summary:
raw total energy: -5.330 eV/atom
magnetic moment: 0.00 μB per formula unit
uncorrected formation energy: -855 kJ/mol of formula units

=====

The following is a PBE-GGA calculation of Nd4InSi after structural relaxation, from Alexandria via LeMat-Bulk.

a b c (Å): 5.898 6.955 9.754
angles (deg): 90.00 116.74 90.00
Fractional positions:
Nd (0.902, 0.016, 0.247)
Nd (0.394, 0.750, 0.546)
In (0.312, 0.250, 0.082)
Nd (0.606, 0.250, 0.454)
Nd (0.098, 0.984, 0.753)
Nd (0.681, 0.250, 0.865)
Si (0.194, 0.250, 0.542)
Nd (0.098, 0.516, 0.753)
Si (0.806, 0.750, 0.458)
Nd (0.319, 0.750, 0.135)
In (0.688, 0.750, 0.918)
Nd (0.902, 0.484, 0.247)

Summary:
raw total energy: -4.938 eV/atom
magnetic moment: 0.00 μB per formula unit
uncorrected formation energy: -231 kJ/mol of formula units

=====

The following is a PBE-GGA calculation of Nd5InSi2 after structural relaxation, from Alexandria via LeMat-Bulk.

a b c (Å): 7.909 7.909 9.231
angles (deg): 115.37 115.37 90.00
Fractional positions:
Nd (0.038, 0.538, 0.723)
Si (0.616, 0.116, 0.000)
Nd (0.815, 0.962, 0.277)
In (0.250, 0.250, 0.500)
Nd (0.315, 0.815, 0.277)
Nd (0.685, 0.185, 0.723)
Nd (0.000, 0.000, 0.000)
In (0.750, 0.750, 0.500)
Si (0.116, 0.384, 0.000)
Nd (0.962, 0.462, 0.277)
Si (0.884, 0.616, 0.000)
Nd (0.500, 0.500, 0.000)
Nd (0.462, 0.315, 0.277)
Si (0.384, 0.884, 0.000)
Nd (0.185, 0.038, 0.723)
Nd (0.538, 0.685, 0.723)

Summary:
raw total energy: -5.218 eV/atom
magnetic moment: 0.00 μB per formula unit
uncorrected formation energy: -417 kJ/mol of formula units

=====

The following is a PBE-GGA calculation of Nd12InSi6 after structural relaxation, from Alexandria via LeMat-Bulk.

a b c (Å): 8.928 8.928 8.928
angles (deg): 109.47 109.47 109.47
Fractional positions:
Nd (0.188, 0.702, 0.890)
Nd (0.514, 0.812, 0.702)
Si (0.386, 0.500, 0.886)
Si (0.500, 0.114, 0.614)
Nd (0.110, 0.812, 0.298)
Si (0.614, 0.500, 0.114)
Si (0.500, 0.886, 0.386)
Nd (0.890, 0.188, 0.702)
Si (0.114, 0.614, 0.500)
Si (0.886, 0.386, 0.500)
Nd (0.812, 0.298, 0.110)
Nd (0.702, 0.514, 0.812)
Nd (0.188, 0.298, 0.486)
Nd (0.812, 0.702, 0.514)
Nd (0.702, 0.890, 0.188)
Nd (0.298, 0.110, 0.812)
Nd (0.486, 0.188, 0.298)
Nd (0.298, 0.486, 0.188)
In (0.000, 0.000, 0.000)

Summary:
raw total energy: -5.394 eV/atom
magnetic moment: 0.00 μB per formula unit
uncorrected formation energy: -965 kJ/mol of formula units

=====

The following is a PBE-GGA calculation of Nd6InSi2Te3 after structural relaxation, from Alexandria via LeMat-Bulk.

a b c (Å): 4.377 9.021 9.972
angles (deg): 104.54 102.68 90.00
Fractional positions:
Nd (0.992, 0.742, 0.984)
In (0.500, 0.000, 0.000)
Te (0.500, 0.500, 0.000)
Nd (0.008, 0.258, 0.016)
Nd (0.331, 0.896, 0.662)
Nd (0.673, 0.567, 0.347)
Te (0.836, 0.169, 0.671)
Si (0.833, 0.667, 0.666)
Nd (0.669, 0.104, 0.338)
Nd (0.327, 0.433, 0.653)
Si (0.167, 0.333, 0.334)
Te (0.164, 0.831, 0.329)

Summary:
raw total energy: -5.327 eV/atom
magnetic moment: 0.00 μB per formula unit
uncorrected formation energy: -1187 kJ/mol of formula units

=====

The following is a PBE-GGA calculation of Nd6Sm5In after structural relaxation, from Alexandria via LeMat-Bulk.

a b c (Å): 5.068 9.599 9.599
angles (deg): 107.20 105.28 105.28
Fractional positions:
Nd (0.756, 0.592, 0.920)
Sm (0.500, 0.167, 0.833)
Sm (0.000, 0.336, 0.664)
Nd (0.244, 0.408, 0.080)
Nd (0.257, 0.757, 0.757)
Nd (0.743, 0.243, 0.243)
Sm (0.500, 0.500, 0.500)
Sm (0.500, 0.833, 0.167)
Nd (0.244, 0.080, 0.408)
Sm (0.000, 0.664, 0.336)
Nd (0.756, 0.920, 0.592)
In (0.000, 0.000, 0.000)

Summary:
raw total energy: -4.639 eV/atom
DFT formation energy: -0.061 eV/atom
magnetic moment: 0.00 μB per formula unit

=====

The following is a PBE-GGA calculation of NdSm6In after structural relaxation, from Alexandria via LeMat-Bulk.

a b c (Å): 4.993 4.993 10.306
angles (deg): 90.00 90.00 90.00
Fractional positions:
Sm (0.500, 0.500, 0.000)
Nd (0.000, 0.000, 0.500)
Sm (0.500, 0.000, 0.241)
Sm (0.000, 0.500, 0.759)
Sm (0.000, 0.500, 0.241)
Sm (0.500, 0.000, 0.759)
Sm (0.500, 0.500, 0.500)
In (0.000, 0.000, 0.000)

Summary:
raw total energy: -4.591 eV/atom
DFT formation energy: -0.113 eV/atom
magnetic moment: 0.00 μB per formula unit

=====

The following is a PBE-GGA calculation of Nd6SmIn4 after structural relaxation, from Alexandria via LeMat-Bulk.

a b c (Å): 8.245 8.245 8.245
angles (deg): 86.18 122.23 122.23
Fractional positions:
In (0.000, 0.596, 0.274)
Nd (0.500, 0.000, 0.500)
In (0.321, 0.726, 0.726)
In (0.000, 0.274, 0.596)
In (0.679, 0.404, 0.404)
Nd (0.377, 0.470, 0.470)
Nd (0.000, 0.530, 0.907)
Nd (0.500, 0.500, 0.000)
Nd (0.623, 0.093, 0.093)
Nd (0.000, 0.907, 0.530)
Sm (0.000, 0.000, 0.000)

Summary:
raw total energy: -4.170 eV/atom
DFT formation energy: -0.145 eV/atom
magnetic moment: 0.01 μB per formula unit